Entry 1:
Density functional theory data (meta-GGA SCAN) for a crystal of Nb4FeC2S4 relaxed with PBEsol. Values from VASP.

Uncorrected formation energy, meV/atom: -846
Total magnetic moment, μB per formula unit: 0.00
E_tot, eV per atom: -19.88

```
&SYSTEM
  ibrav = 0, nat = 11, ntyp = 4
/
ATOMIC_SPECIES
Nb 92.91 Nb.upf
Fe 55.84 Fe.upf
C 12.01 C.upf
S 32.06 S.upf
CELL_PARAMETERS angstrom
5.653 0.000 0.000
0.000 3.297 0.000
-1.920 0.000 8.134
ATOMIC_POSITIONS crystal
Nb 0.115 0.000 0.359
Nb 0.380 0.500 0.643
Nb 0.620 0.500 0.357
Nb 0.885 0.000 0.641
Fe 0.000 0.000 0.000
C 0.000 0.500 0.500
C 0.500 0.000 0.500
S 0.214 0.500 0.149
S 0.284 0.000 0.848
S 0.716 0.000 0.152
S 0.786 0.500 0.851
```

***

Entry 2:
Density functional theory data (meta-GGA SCAN) for a crystal of Ba4MgBi3O12 relaxed with PBEsol. Values from VASP.

Uncorrected formation energy, meV/atom: -2039
Total magnetic moment, μB per formula unit: 0.00
E_tot, eV per atom: -25.72

```
&SYSTEM
  ibrav = 0, nat = 20, ntyp = 4
/
ATOMIC_SPECIES
Ba 137.33 Ba.upf
Mg 24.30 Mg.upf
Bi 208.98 Bi.upf
O 16.00 O.upf
CELL_PARAMETERS angstrom
-4.259 4.259 4.259
4.259 -4.259 4.259
4.259 4.259 -4.259
ATOMIC_POSITIONS crystal
Ba 0.000 0.000 0.500
Ba 0.000 0.500 0.000
Ba 0.500 0.000 0.000
Ba 0.500 0.500 0.500
Mg 0.000 0.000 0.000
Bi 0.000 0.500 0.500
Bi 0.500 0.000 0.500
Bi 0.500 0.500 0.000
O 0.000 0.252 0.252
O 0.000 0.748 0.748
O 0.250 0.500 0.750
O 0.250 0.750 0.500
O 0.252 0.000 0.252
O 0.252 0.252 0.000
O 0.500 0.250 0.750
O 0.500 0.750 0.250
O 0.748 0.000 0.748
O 0.748 0.748 0.000
O 0.750 0.250 0.500
O 0.750 0.500 0.250
```

***

Entry 3:
Density functional theory data (meta-GGA SCAN) for a crystal of MgCrSi2O6 relaxed with PBEsol. Values from VASP.

Uncorrected formation energy, meV/atom: -2792
Total magnetic moment, μB per formula unit: 4.00
E_tot, eV per atom: -10.87

```
&SYSTEM
  ibrav = 0, nat = 20, ntyp = 4
/
ATOMIC_SPECIES
Mg 24.30 Mg.upf
Cr 52.00 Cr.upf
Si 28.09 Si.upf
O 16.00 O.upf
CELL_PARAMETERS angstrom
4.744 -4.597 0.000
4.744 4.597 0.000
-1.075 0.000 4.838
ATOMIC_POSITIONS crystal
Mg 0.226 0.774 0.750
Mg 0.774 0.226 0.250
Cr 0.402 0.598 0.250
Cr 0.598 0.402 0.750
Si 0.112 0.291 0.793
Si 0.291 0.112 0.293
Si 0.709 0.888 0.707
Si 0.888 0.709 0.207
O 0.093 0.209 0.092
O 0.106 0.655 0.369
O 0.209 0.093 0.592
O 0.278 0.479 0.863
O 0.345 0.894 0.131
O 0.479 0.278 0.363
O 0.521 0.722 0.637
O 0.655 0.106 0.869
O 0.722 0.521 0.137
O 0.791 0.907 0.408
O 0.894 0.345 0.631
O 0.907 0.791 0.908
```

***

Entry 4:
Density functional theory data (meta-GGA SCAN) for a crystal of Sc2MnAs relaxed with PBEsol. Values from VASP.

ΔH_f (0 K), eV per atom: -0.154
Total magnetic moment, μB per formula unit: 2.67
E_tot, eV per atom: -16.88

```
&SYSTEM
  ibrav = 0, nat = 12, ntyp = 3
/
ATOMIC_SPECIES
Sc 44.96 Sc.upf
Mn 54.94 Mn.upf
As 74.92 As.upf
CELL_PARAMETERS angstrom
3.492 0.000 0.000
-1.746 3.024 0.000
0.000 0.000 25.104
ATOMIC_POSITIONS crystal
Sc 0.000 0.000 0.101
Sc 0.000 0.000 0.899
Sc 0.333 0.667 0.565
Sc 0.333 0.667 0.768
Sc 0.667 0.333 0.232
Sc 0.667 0.333 0.435
Mn 0.000 0.000 0.000
Mn 0.333 0.667 0.667
Mn 0.667 0.333 0.333
As 0.000 0.000 0.500
As 0.333 0.667 0.167
As 0.667 0.333 0.833
```

***

Entry 5:
Density functional theory data (meta-GGA SCAN) for a crystal of MnBeSbTe2 relaxed with PBEsol. Values from VASP.

Uncorrected formation energy, meV/atom: 490
Total magnetic moment, μB per formula unit: 4.87
E_tot, eV per atom: -26.38

```
&SYSTEM
  ibrav = 0, nat = 5, ntyp = 4
/
ATOMIC_SPECIES
Mn 54.94 Mn.upf
Be 9.01 Be.upf
Sb 121.76 Sb.upf
Te 127.60 Te.upf
CELL_PARAMETERS angstrom
5.101 0.000 0.000
0.000 5.101 0.000
0.000 0.000 4.584
ATOMIC_POSITIONS crystal
Mn 0.000 0.000 0.000
Be 0.500 0.500 0.500
Sb 0.500 0.500 0.000
Te 0.000 0.500 0.500
Te 0.500 0.000 0.500
```

***

Entry 6:
Density functional theory data (meta-GGA SCAN) for a crystal of BeIr2O2 relaxed with PBEsol. Values from VASP.

Uncorrected formation energy, meV/atom: 95
Total magnetic moment, μB per formula unit: 0.00
E_tot, eV per atom: -31.71

```
&SYSTEM
  ibrav = 0, nat = 10, ntyp = 3
/
ATOMIC_SPECIES
Be 9.01 Be.upf
Ir 192.22 Ir.upf
O 16.00 O.upf
CELL_PARAMETERS angstrom
3.209 0.000 0.000
0.000 3.209 0.000
0.000 0.000 10.488
ATOMIC_POSITIONS crystal
Be 0.000 0.000 0.000
Be 0.500 0.500 0.500
Ir 0.000 0.000 0.384
Ir 0.000 0.000 0.616
Ir 0.500 0.500 0.116
Ir 0.500 0.500 0.884
O 0.000 0.500 0.250
O 0.000 0.500 0.750
O 0.500 0.000 0.250
O 0.500 0.000 0.750
```

***

Entry 7:
Density functional theory data (meta-GGA SCAN) for a crystal of BeCd2Te relaxed with PBEsol. Values from VASP.

Uncorrected formation energy, meV/atom: 343
Total magnetic moment, μB per formula unit: 0.00
E_tot, eV per atom: -25.27

```
&SYSTEM
  ibrav = 0, nat = 8, ntyp = 3
/
ATOMIC_SPECIES
Be 9.01 Be.upf
Cd 112.41 Cd.upf
Te 127.60 Te.upf
CELL_PARAMETERS angstrom
3.668 0.000 0.000
0.000 5.486 0.000
0.000 0.000 8.583
ATOMIC_POSITIONS crystal
Be 0.000 0.000 0.000
Be 0.500 0.500 0.500
Cd 0.000 0.000 0.503
Cd 0.000 0.500 0.720
Cd 0.500 0.000 0.220
Cd 0.500 0.500 0.003
Te 0.000 0.500 0.313
Te 0.500 0.000 0.813
```

***

Entry 8:
Density functional theory data (meta-GGA SCAN) for a crystal of Pm3Y relaxed with PBEsol. Values from VASP.

ΔH_f (0 K), eV per atom: 0.016
Total magnetic moment, μB per formula unit: 0.00
E_tot, eV per atom: -39.93

```
&SYSTEM
  ibrav = 0, nat = 4, ntyp = 2
/
ATOMIC_SPECIES
Pm 145.00 Pm.upf
Y 88.91 Y.upf
CELL_PARAMETERS angstrom
5.022 0.000 0.000
0.000 5.022 0.000
0.000 0.000 5.022
ATOMIC_POSITIONS crystal
Pm 0.000 0.000 0.500
Pm 0.000 0.500 0.000
Pm 0.500 0.000 0.000
Y 0.500 0.500 0.500
```

***

Entry 9:
Density functional theory data (meta-GGA SCAN) for a crystal of LiMg2Cd relaxed with PBEsol. Values from VASP.

ΔH_f (0 K), eV per atom: -0.149
Total magnetic moment, μB per formula unit: 0.02
E_tot, eV per atom: -10.84

```
&SYSTEM
  ibrav = 0, nat = 8, ntyp = 3
/
ATOMIC_SPECIES
Li 6.94 Li.upf
Mg 24.30 Mg.upf
Cd 112.41 Cd.upf
CELL_PARAMETERS angstrom
3.550 0.000 0.000
0.000 4.786 0.000
0.000 0.000 9.257
ATOMIC_POSITIONS crystal
Li 0.000 0.000 0.000
Li 0.500 0.500 0.500
Mg 0.000 0.500 0.253
Mg 0.000 0.500 0.747
Mg 0.500 0.000 0.247
Mg 0.500 0.000 0.753
Cd 0.000 0.000 0.500
Cd 0.500 0.500 0.000
```

***

Entry 10:
Density functional theory data (meta-GGA SCAN) for a crystal of CaB3H7O9 relaxed with PBEsol. Values from VASP.

Total magnetic moment, μB per formula unit: 0.01
E_tot, eV per atom: -7.55

```
&SYSTEM
  ibrav = 0, nat = 40, ntyp = 4
/
ATOMIC_SPECIES
Ca 40.08 Ca.upf
B 10.81 B.upf
H 1.01 H.upf
O 16.00 O.upf
CELL_PARAMETERS angstrom
6.381 0.000 0.000
1.321 6.369 0.000
0.164 0.475 8.205
ATOMIC_POSITIONS crystal
Ca 0.244 0.488 0.121
Ca 0.756 0.512 0.879
B 0.165 0.205 0.867
B 0.306 0.538 0.758
B 0.495 0.173 0.698
B 0.505 0.827 0.302
B 0.694 0.462 0.242
B 0.835 0.795 0.133
H 0.043 0.336 0.397
H 0.070 0.869 0.285
H 0.146 0.034 0.085
H 0.224 0.446 0.472
H 0.271 0.756 0.549
H 0.314 0.090 0.399
H 0.360 0.828 0.834
H 0.640 0.172 0.166
H 0.686 0.910 0.601
H 0.729 0.244 0.451
H 0.776 0.554 0.528
H 0.854 0.966 0.915
H 0.930 0.131 0.715
H 0.957 0.664 0.603
O 0.048 0.839 0.172
O 0.149 0.435 0.843
O 0.202 0.158 0.040
O 0.203 0.341 0.393
O 0.205 0.646 0.607
O 0.333 0.083 0.763
O 0.337 0.933 0.393
O 0.382 0.675 0.870
O 0.500 0.380 0.718
O 0.500 0.620 0.282
O 0.618 0.325 0.130
O 0.663 0.067 0.607
O 0.667 0.917 0.237
O 0.795 0.354 0.393
O 0.797 0.659 0.607
O 0.798 0.842 0.960
O 0.851 0.565 0.157
O 0.952 0.161 0.828
```

***

Entry 11:
Density functional theory data (meta-GGA SCAN) for a crystal of RbCrS3 relaxed with PBEsol. Values from VASP.

Uncorrected formation energy, meV/atom: -571
Total magnetic moment, μB per formula unit: 1.77
E_tot, eV per atom: -14.17

```
&SYSTEM
  ibrav = 0, nat = 5, ntyp = 3
/
ATOMIC_SPECIES
Rb 85.47 Rb.upf
Cr 52.00 Cr.upf
S 32.06 S.upf
CELL_PARAMETERS angstrom
4.622 0.000 0.000
0.000 4.622 0.000
0.000 0.000 4.622
ATOMIC_POSITIONS crystal
Rb 0.000 0.000 0.000
Cr 0.500 0.500 0.500
S 0.000 0.500 0.500
S 0.500 0.000 0.500
S 0.500 0.500 0.000
```

***

Entry 12:
Density functional theory data (meta-GGA SCAN) for a crystal of TlAs2PtSe relaxed with PBEsol. Values from VASP.

Uncorrected formation energy, meV/atom: 310
Total magnetic moment, μB per formula unit: 0.66
E_tot, eV per atom: -40.29

```
&SYSTEM
  ibrav = 0, nat = 5, ntyp = 4
/
ATOMIC_SPECIES
Tl 204.38 Tl.upf
As 74.92 As.upf
Pt 195.08 Pt.upf
Se 78.96 Se.upf
CELL_PARAMETERS angstrom
4.812 0.000 0.000
0.000 4.812 0.000
0.000 0.000 5.330
ATOMIC_POSITIONS crystal
Tl 0.000 0.000 0.000
As 0.000 0.500 0.500
As 0.500 0.000 0.500
Pt 0.500 0.500 0.500
Se 0.500 0.500 0.000
```